# P2WClF PBE+U optimized geometry
data_P2WClF
_chemical_formula_sum 'P2 W1 Cl1 F1'
_symmetry_space_group_name_H-M 'P 4/m m m'
_symmetry_Int_Tables_number 123
_symmetry_space_group_name_Hall '-P 4 2'
_cell_length_a 4.102
_cell_length_b 4.102
_cell_length_c 5.247
_cell_angle_alpha 90.00
_cell_angle_beta 90.00
_cell_angle_gamma 90.00
loop_
_atom_site_label
_atom_site_type_symbol
_atom_site_fract_x
_atom_site_fract_y
_atom_site_fract_z
_atom_site_occupancy
P1 P 0.000 0.500 0.000 1
W1 W 0.000 0.000 0.500 1
Cl1 Cl 0.500 0.500 0.500 1
F1 F 0.500 0.500 0.000 1
# Calculated volume (Å³/cell): 88.30
# Distance to the lowest polymorph of the same formula (eV/atom): 0.432